# 1
# Mg2P3Pd9 PBE relaxed
# - ΔE_f: -0.550 eV/atom
data_Mg2P3Pd9
_cell_length_a 12.763
_cell_length_b 7.492
_cell_length_c 9.767
_cell_angle_alpha 90.00
_cell_angle_beta 114.36
_cell_angle_gamma 90.00
_symmetry_space_group_name_H-M 'C 1 2/c 1'
_symmetry_Int_Tables_number 15
loop_
_symmetry_equiv_pos_as_xyz
'x,y,z'
'-x,-y,-z'
'-x,y,-z+1/2'
'x,-y,z+1/2'
'x+1/2,y+1/2,z'
'-x+1/2,-y+1/2,-z'
'-x+1/2,y+1/2,-z+1/2'
'x+1/2,-y+1/2,z+1/2'
loop_
_atom_site_label
_atom_site_fract_x
_atom_site_fract_y
_atom_site_fract_z
_atom_site_occupancy
Mg1 0.157 0.092 0.251 1
P1 0.074 0.243 0.482 1
P2 0.250 0.250 0.000 1
Pd1 0.000 0.388 0.250 1
Pd2 0.059 0.080 0.928 1
Pd3 0.115 0.427 0.045 1
Pd4 0.131 0.290 0.745 1
Pd5 0.242 0.397 0.407 1

=====

# 2
# Mg2P2Pd PBE relaxed
# - ΔE_f: -0.445 eV/atom
data_Mg2P2Pd
_cell_length_a 6.482
_cell_length_b 6.482
_cell_length_c 3.918
_cell_angle_alpha 90.00
_cell_angle_beta 90.00
_cell_angle_gamma 90.00
_symmetry_space_group_name_H-M 'P 4/m b m'
_symmetry_Int_Tables_number 127
_symmetry_space_group_name_Hall '-P 4 2ab'
loop_
_atom_site_label
_atom_site_fract_x
_atom_site_fract_y
_atom_site_fract_z
_atom_site_occupancy
Mg1 0.185 0.315 0.000 1
P1 0.124 0.624 0.500 1
Pd1 0.000 0.000 0.500 1

=====

# 3
# Mg2PPd PBE relaxed
# - ΔE_f: -0.107 eV/atom
data_Mg2PPd
_cell_length_a 4.200
_cell_length_b 4.200
_cell_length_c 17.132
_cell_angle_alpha 90.00
_cell_angle_beta 90.00
_cell_angle_gamma 90.00
_symmetry_space_group_name_H-M 'I -4 2 d'
_symmetry_Int_Tables_number 122
_symmetry_space_group_name_Hall 'I -4 2bw'
loop_
_atom_site_label
_atom_site_fract_x
_atom_site_fract_y
_atom_site_fract_z
_atom_site_occupancy
Mg1 0.249 0.250 0.125 1
P1 0.000 0.000 0.000 1
Pd1 0.000 0.000 0.500 1